No. 1
A plane-wave DFT calculation with meta-GGA SCAN was carried out for a crystal of CsLiP2C relaxed with PBEsol.

Values from the calculation:
density: 3.96 g/cm³
symmetry: No. 123
formation enthalpy at 0 K: 876 meV/atom

```
CsLiP2C
1.0
4.275 0.000 0.000
0.000 4.275 0.000
0.000 0.000 4.905
Cs Li P C
1 1 2 1
direct
0.000 0.000 0.000 Cs
0.500 0.500 0.000 Li
0.000 0.500 0.500 P
0.500 0.000 0.500 P
0.500 0.500 0.500 C
```

***

No. 2
A plane-wave DFT calculation with meta-GGA SCAN was carried out for a crystal of CsMn3C relaxed with PBEsol.

Values from the calculation:
density: 7.37 g/cm³
symmetry: No. 221
formation enthalpy at 0 K: 1075 meV/atom

```
CsMn3C
1.0
4.117 0.000 0.000
0.000 4.117 0.000
0.000 0.000 4.117
Cs Mn C
1 3 1
direct
0.000 0.000 0.000 Cs
0.000 0.500 0.500 Mn
0.500 0.000 0.500 Mn
0.500 0.500 0.000 Mn
0.500 0.500 0.500 C
```

***

No. 3
A plane-wave DFT calculation with meta-GGA SCAN was carried out for a crystal of CsMnC3N3 relaxed with PBEsol.

Values from the calculation:
density: 3.57 g/cm³
symmetry: No. 225
energy relative to the elements, uncorrected: -0.282 eV/atom

```
CsMnC3N3
1.0
0.000 4.980 4.980
4.980 0.000 4.980
4.980 4.980 0.000
Cs Mn C N
2 2 6 6
direct
0.250 0.250 0.250 Cs
0.750 0.750 0.750 Cs
0.000 0.000 0.000 Mn
0.500 0.500 0.500 Mn
0.189 0.189 0.811 C
0.189 0.811 0.189 C
0.189 0.811 0.811 C
0.811 0.189 0.189 C
0.811 0.189 0.811 C
0.811 0.811 0.189 C
0.309 0.309 0.691 N
0.309 0.691 0.309 N
0.309 0.691 0.691 N
0.691 0.309 0.309 N
0.691 0.309 0.691 N
0.691 0.691 0.309 N
```

***

No. 4
A plane-wave DFT calculation with meta-GGA SCAN was carried out for a crystal of Cs2NaC6N9 relaxed with PBEsol.

Values from the calculation:
density: 2.58 g/cm³
symmetry: No. 176
energy relative to the elements, uncorrected: -0.150 eV/atom

```
Cs2NaC6N9
1.0
6.980 0.000 0.000
-3.490 6.045 0.000
0.000 0.000 14.832
Cs Na C N
4 2 12 18
direct
0.333 0.667 0.065 Cs
0.333 0.667 0.435 Cs
0.667 0.333 0.565 Cs
0.667 0.333 0.935 Cs
0.000 0.000 0.000 Na
0.000 0.000 0.500 Na
0.154 0.340 0.672 C
0.154 0.340 0.828 C
0.186 0.846 0.672 C
0.186 0.846 0.828 C
0.340 0.186 0.172 C
0.340 0.186 0.328 C
0.660 0.814 0.672 C
0.660 0.814 0.828 C
0.814 0.154 0.172 C
0.814 0.154 0.328 C
0.846 0.660 0.172 C
0.846 0.660 0.328 C
0.078 0.354 0.750 N
0.122 0.794 0.597 N
0.122 0.794 0.903 N
0.206 0.328 0.597 N
0.206 0.328 0.903 N
0.276 0.922 0.750 N
0.328 0.122 0.097 N
0.328 0.122 0.403 N
0.354 0.276 0.250 N
0.646 0.724 0.750 N
0.672 0.878 0.597 N
0.672 0.878 0.903 N
0.724 0.078 0.250 N
0.794 0.672 0.097 N
0.794 0.672 0.403 N
0.878 0.206 0.097 N
0.878 0.206 0.403 N
0.922 0.646 0.250 N
```

***

No. 5
A plane-wave DFT calculation with meta-GGA SCAN was carried out for a crystal of CsCNO relaxed with PBEsol.

Values from the calculation:
density: 3.52 g/cm³
symmetry: No. 46
energy relative to the elements, uncorrected: -1.093 eV/atom

```
CsCNO
1.0
-3.933 3.219 3.259
3.933 -3.219 3.259
3.933 3.219 -3.259
Cs C N O
2 2 2 2
direct
0.000 0.000 0.000 Cs
0.000 0.500 0.500 Cs
0.494 0.246 0.748 C
0.497 0.746 0.252 C
0.232 0.113 0.619 N
0.494 0.613 0.381 N
0.499 0.880 0.118 O
0.762 0.380 0.882 O
```

***

No. 6
A plane-wave DFT calculation with meta-GGA SCAN was carried out for a crystal of Cs3NaC relaxed with PBEsol.

Values from the calculation:
density: 2.65 g/cm³
symmetry: No. 221
formation enthalpy at 0 K: 765 meV/atom

```
Cs3NaC
1.0
6.478 0.000 0.000
0.000 6.478 0.000
0.000 0.000 6.478
Cs Na C
3 1 1
direct
0.000 0.000 0.500 Cs
0.000 0.500 0.000 Cs
0.500 0.000 0.000 Cs
0.500 0.500 0.500 Na
0.000 0.000 0.000 C
```

***

No. 7
A plane-wave DFT calculation with meta-GGA SCAN was carried out for a crystal of CsNi2OsC relaxed with PBEsol.

Values from the calculation:
density: 8.45 g/cm³
symmetry: No. 123
formation enthalpy at 0 K: 1197 meV/atom

```
CsNi2OsC
1.0
4.772 0.000 0.000
0.000 4.772 0.000
0.000 0.000 3.907
Cs Ni Os C
1 2 1 1
direct
0.000 0.000 0.000 Cs
0.000 0.500 0.500 Ni
0.500 0.000 0.500 Ni
0.500 0.500 0.500 Os
0.500 0.500 0.000 C
```

***

No. 8
A plane-wave DFT calculation with meta-GGA SCAN was carried out for a crystal of CsSrNi2C relaxed with PBEsol.

Values from the calculation:
density: 4.26 g/cm³
symmetry: No. 123
formation enthalpy at 0 K: 2576 meV/atom

```
CsSrNi2C
1.0
4.610 0.000 0.000
0.000 4.610 0.000
0.000 0.000 6.421
Cs Sr Ni C
1 1 2 1
direct
0.000 0.000 0.000 Cs
0.000 0.000 0.500 Sr
0.000 0.500 0.000 Ni
0.500 0.000 0.000 Ni
0.500 0.500 0.500 C
```

***

No. 9
A plane-wave DFT calculation with meta-GGA SCAN was carried out for a crystal of Cs2CO3 relaxed with PBEsol.

Values from the calculation:
density: 4.32 g/cm³
symmetry: No. 14
energy relative to the elements, uncorrected: -1.897 eV/atom

```
Cs2CO3
1.0
6.121 0.000 0.000
0.000 10.336 0.000
-0.881 0.000 7.924
Cs C O
8 4 12
direct
0.241 0.216 0.480 Cs
0.241 0.284 0.980 Cs
0.258 0.583 0.325 Cs
0.258 0.917 0.825 Cs
0.742 0.083 0.175 Cs
0.742 0.417 0.675 Cs
0.759 0.716 0.020 Cs
0.759 0.784 0.520 Cs
0.251 0.581 0.734 C
0.251 0.919 0.234 C
0.749 0.081 0.766 C
0.749 0.419 0.266 C
0.085 0.632 0.799 O
0.085 0.868 0.299 O
0.243 0.038 0.182 O
0.243 0.462 0.682 O
0.426 0.650 0.717 O
0.426 0.850 0.217 O
0.574 0.150 0.783 O
0.574 0.350 0.283 O
0.757 0.538 0.318 O
0.757 0.962 0.818 O
0.915 0.132 0.701 O
0.915 0.368 0.201 O
```

***

No. 10
A plane-wave DFT calculation with meta-GGA SCAN was carried out for a crystal of Cs2C2O relaxed with PBEsol.

Values from the calculation:
density: 3.97 g/cm³
symmetry: No. 127
energy relative to the elements, uncorrected: 0.490 eV/atom

```
Cs2C2O
1.0
7.811 0.000 0.000
0.000 7.811 0.000
0.000 0.000 4.188
Cs C O
4 4 2
direct
0.227 0.273 0.000 Cs
0.273 0.773 0.000 Cs
0.727 0.227 0.000 Cs
0.773 0.727 0.000 Cs
0.057 0.557 0.500 C
0.443 0.057 0.500 C
0.557 0.943 0.500 C
0.943 0.443 0.500 C
0.000 0.000 0.500 O
0.500 0.500 0.500 O
```

***

No. 11
A plane-wave DFT calculation with meta-GGA SCAN was carried out for a crystal of CsCO2 relaxed with PBEsol.

Values from the calculation:
density: 3.88 g/cm³
symmetry: No. 14
energy relative to the elements, uncorrected: -1.686 eV/atom

```
CsCO2
1.0
6.539 0.000 0.000
0.000 10.881 0.000
-1.165 0.000 8.507
Cs C O
8 8 16
direct
0.212 0.202 0.019 Cs
0.212 0.298 0.519 Cs
0.270 0.587 0.167 Cs
0.270 0.913 0.667 Cs
0.730 0.087 0.333 Cs
0.730 0.413 0.833 Cs
0.788 0.702 0.481 Cs
0.788 0.798 0.981 Cs
0.191 0.557 0.776 C
0.191 0.943 0.276 C
0.332 0.608 0.664 C
0.332 0.892 0.164 C
0.668 0.108 0.836 C
0.668 0.392 0.336 C
0.809 0.057 0.724 C
0.809 0.443 0.224 C
0.046 0.626 0.807 O
0.046 0.874 0.307 O
0.231 0.051 0.331 O
0.231 0.449 0.831 O
0.269 0.604 0.518 O
0.269 0.896 0.018 O
0.498 0.154 0.771 O
0.498 0.346 0.271 O
0.502 0.654 0.729 O
0.502 0.846 0.229 O
0.731 0.104 0.982 O
0.731 0.396 0.482 O
0.769 0.551 0.169 O
0.769 0.949 0.669 O
0.954 0.126 0.693 O
0.954 0.374 0.193 O
```

***

No. 12
A plane-wave DFT calculation with meta-GGA SCAN was carried out for a crystal of CsPrC2O6 relaxed with PBEsol.

Values from the calculation:
density: 4.42 g/cm³
symmetry: No. 2
energy relative to the elements, uncorrected: -2.313 eV/atom

```
CsPrC2O6
1.0
8.513 0.000 0.000
-3.700 8.004 0.000
-0.934 -1.907 8.680
Cs Pr C O
4 4 8 24
direct
0.240 0.187 0.028 Cs
0.241 0.029 0.530 Cs
0.759 0.971 0.470 Cs
0.760 0.813 0.972 Cs
0.243 0.714 0.039 Pr
0.261 0.522 0.548 Pr
0.739 0.478 0.452 Pr
0.757 0.286 0.961 Pr
0.002 0.728 0.712 C
0.026 0.288 0.789 C
0.418 0.603 0.267 C
0.456 0.859 0.756 C
0.544 0.141 0.244 C
0.582 0.397 0.733 C
0.974 0.712 0.211 C
0.998 0.272 0.288 C
0.046 0.631 0.617 O
0.064 0.422 0.899 O
0.095 0.806 0.847 O
0.103 0.853 0.201 O
0.114 0.296 0.681 O
0.138 0.257 0.336 O
0.275 0.616 0.290 O
0.395 0.724 0.817 O
0.440 0.832 0.608 O
0.471 0.990 0.160 O
0.472 0.629 0.140 O
0.499 0.565 0.376 O
0.501 0.435 0.624 O
0.528 0.371 0.860 O
0.529 0.010 0.840 O
0.560 0.168 0.392 O
0.605 0.276 0.183 O
0.725 0.384 0.710 O
0.862 0.743 0.664 O
0.886 0.704 0.319 O
0.897 0.147 0.799 O
0.905 0.194 0.153 O
0.936 0.578 0.101 O
0.954 0.369 0.383 O
```

***

No. 13
A plane-wave DFT calculation with meta-GGA SCAN was carried out for a crystal of Cs2Sr2C3O9 relaxed with PBEsol.

Values from the calculation:
density: 4.13 g/cm³
symmetry: No. 199
energy relative to the elements, uncorrected: -2.260 eV/atom

```
Cs2Sr2C3O9
1.0
-4.999 4.999 4.999
4.999 -4.999 4.999
4.999 4.999 -4.999
Cs Sr C O
4 4 6 18
direct
0.000 0.889 0.500 Cs
0.500 0.000 0.889 Cs
0.611 0.611 0.611 Cs
0.889 0.500 0.000 Cs
0.000 0.407 0.500 Sr
0.093 0.093 0.093 Sr
0.407 0.500 0.000 Sr
0.500 0.000 0.407 Sr
0.155 0.750 0.905 C
0.250 0.595 0.345 C
0.345 0.250 0.595 C
0.595 0.345 0.250 C
0.750 0.905 0.155 C
0.905 0.155 0.750 C
0.025 0.750 0.775 O
0.081 0.221 0.865 O
0.140 0.419 0.284 O
0.216 0.635 0.856 O
0.221 0.865 0.081 O
0.250 0.725 0.475 O
0.279 0.360 0.644 O
0.284 0.140 0.419 O
0.360 0.644 0.279 O
0.419 0.284 0.140 O
0.475 0.250 0.725 O
0.635 0.856 0.216 O
0.644 0.279 0.360 O
0.725 0.475 0.250 O
0.750 0.775 0.025 O
0.775 0.025 0.750 O
0.856 0.216 0.635 O
0.865 0.081 0.221 O
```

***

No. 14
A plane-wave DFT calculation with meta-GGA SCAN was carried out for a crystal of CsOsC3 relaxed with PBEsol.

Values from the calculation:
density: 7.93 g/cm³
symmetry: No. 221
formation enthalpy at 0 K: 5194 meV/atom

```
CsOsC3
1.0
4.222 0.000 0.000
0.000 4.222 0.000
0.000 0.000 4.222
Cs Os C
1 1 3
direct
0.000 0.000 0.000 Cs
0.500 0.500 0.500 Os
0.000 0.000 0.500 C
0.000 0.500 0.000 C
0.500 0.000 0.000 C
```

***

No. 15
A plane-wave DFT calculation with meta-GGA SCAN was carried out for a crystal of CsRbOsC2 relaxed with PBEsol.

Values from the calculation:
density: 3.67 g/cm³
symmetry: No. 123
formation enthalpy at 0 K: 3510 meV/atom

```
CsRbOsC2
1.0
5.582 0.000 0.000
0.000 5.582 0.000
0.000 0.000 6.277
Cs Rb Os C
1 1 1 2
direct
0.000 0.000 0.000 Cs
0.500 0.500 0.500 Rb
0.500 0.500 0.000 Os
0.000 0.500 0.500 C
0.500 0.000 0.500 C
```

***

No. 16
A plane-wave DFT calculation with meta-GGA SCAN was carried out for a crystal of CsPC3 relaxed with PBEsol.

Values from the calculation:
density: 5.60 g/cm³
symmetry: No. 221
formation enthalpy at 0 K: 2576 meV/atom

```
CsPC3
1.0
3.900 0.000 0.000
0.000 3.900 0.000
0.000 0.000 3.900
Cs P C
1 1 3
direct
0.000 0.000 0.000 Cs
0.500 0.500 0.500 P
0.000 0.500 0.500 C
0.500 0.000 0.500 C
0.500 0.500 0.000 C
```

***

No. 17
A plane-wave DFT calculation with meta-GGA SCAN was carried out for a crystal of CsRe2PC relaxed with PBEsol.

Values from the calculation:
density: 7.12 g/cm³
symmetry: No. 123
formation enthalpy at 0 K: 2345 meV/atom

```
CsRe2PC
1.0
4.394 0.000 0.000
0.000 4.394 0.000
0.000 0.000 6.629
Cs Re P C
1 2 1 1
direct
0.000 0.000 0.000 Cs
0.000 0.500 0.500 Re
0.500 0.000 0.500 Re
0.000 0.000 0.500 P
0.500 0.500 0.000 C
```

***

No. 18
A plane-wave DFT calculation with meta-GGA SCAN was carried out for a crystal of CsPbC2 relaxed with PBEsol.

Values from the calculation:
density: 6.01 g/cm³
symmetry: No. 122
formation enthalpy at 0 K: 2138 meV/atom

```
CsPbC2
1.0
-2.701 2.701 6.899
2.701 -2.701 6.899
2.701 2.701 -6.899
Cs Pb C
2 2 4
direct
0.000 0.000 0.000 Cs
0.750 0.250 0.500 Cs
0.250 0.750 0.500 Pb
0.500 0.500 0.000 Pb
0.276 0.625 0.151 C
0.375 0.526 0.651 C
0.474 0.125 0.849 C
0.875 0.724 0.349 C
```

***

No. 19
A plane-wave DFT calculation with meta-GGA SCAN was carried out for a crystal of Cs2PtC2 relaxed with PBEsol.

Values from the calculation:
density: 5.71 g/cm³
symmetry: No. 164
formation enthalpy at 0 K: -176 meV/atom

```
Cs2PtC2
1.0
5.594 0.000 0.000
-2.797 4.845 0.000
0.000 0.000 5.203
Cs Pt C
2 1 2
direct
0.333 0.667 0.229 Cs
0.667 0.333 0.771 Cs
0.000 0.000 0.500 Pt
0.000 0.000 0.123 C
0.000 0.000 0.877 C
```